FePbS2 at its PBEsol-relaxed geometry, computed with SCAN.

- Theoretical density: 4.885 g/cm³
- Total energy: -28.3378 eV/atom
- Symmetry: R-3m, No. 166
- Density of states at the Fermi level: 2.15 states/eV per cell
- Raw formation energy: -46 meV per atom
- V: 111 Å³ per cell
- M_tot: 4.0 μB per formula unit

```
FePbS2
1.0
-1.609 2.160 -3.188
0.231 -1.521 -3.879
-6.926 -3.198 -1.403
S Fe Pb
2 1 1
direct
0.904 0.904 0.288
0.096 0.096 0.712
0.000 0.000 0.000
0.500 0.500 0.500
```

K2SbPt at its PBEsol-relaxed geometry, computed with SCAN.

- Theoretical density: 3.382 g/cm³
- Total energy: -31.4190 eV/atom
- Symmetry: I-42d, No. 122
- Density of states at the Fermi level: 2.66 states/eV per cell
- Raw formation energy: -391 meV per atom
- V: 388 Å³ per cell
- M_tot: 0.0 μB per formula unit

```
K2SbPt
1.0
-2.381 -4.182 -1.058
3.345 -2.751 -8.127
5.116 -6.736 3.640
K Sb Pt
4 2 2
direct
0.880 0.245 0.745
0.875 0.255 0.245
0.375 0.745 0.755
0.870 0.755 0.255
0.500 0.000 0.000
0.250 0.500 0.500
0.750 0.500 0.500
0.000 0.000 0.000
```

KCrNiF6 at its PBEsol-relaxed geometry, computed with SCAN.

- Theoretical density: 3.415 g/cm³
- Total energy: -9.9788 eV/atom
- Symmetry: Imma, No. 74
- Density of states at the Fermi level: 0.00 states/eV per cell
- Raw formation energy: -2854 meV per atom
- V: 257 Å³ per cell
- M_tot: 5.0 μB per formula unit

```
KCrNiF6
1.0
7.038 0.000 0.000
-3.519 6.220 -0.007
0.000 -4.130 5.865
F K Ni Cr
12 2 2 2
direct
0.566 0.132 0.316
0.180 0.754 0.922
0.426 0.246 0.669
0.168 0.336 0.918
0.434 0.868 0.684
0.180 0.754 0.331
0.820 0.246 0.669
0.574 0.754 0.331
0.820 0.246 0.078
0.426 0.246 0.078
0.574 0.754 0.922
0.832 0.664 0.082
0.902 0.804 0.652
0.098 0.196 0.348
0.000 0.500 0.000
0.500 0.500 0.000
0.500 0.000 0.000
0.500 0.000 0.500
```